(1)
First-principles (PBE) data for an optimized crystal structure of Zr3ZnB, as listed in the Alexandria database.

Geometry as POSCAR:
```
Zr3ZnB
1.0
-2.610 2.335 -3.007
-3.793 -1.288 2.293
0.321 3.768 2.647
Zn B Zr
1 1 3
Cartesian
-3.041 2.407 0.967
0.000 0.000 0.000
-1.897 -0.644 1.147
0.160 1.884 1.323
-1.305 1.167 -1.503
```



(2)
First-principles (PBE) data for an optimized crystal structure of ZrZnB3, as listed in the Alexandria database.

Geometry as POSCAR:
```
ZrZnB3
1.0
4.434 0.000 0.000
0.000 4.434 0.000
0.000 0.000 4.434
Zn B Zr
1 3 1
Cartesian
2.217 2.217 2.217
0.000 2.217 0.000
0.000 0.000 2.217
2.217 0.000 0.000
0.000 0.000 0.000
```



(3)
First-principles (PBE) data for an optimized crystal structure of ZrZn2B2, as listed in the Alexandria database.

Geometry as POSCAR:
```
ZrZn2B2
1.0
-3.806 4.448 -3.522
-3.334 -5.185 -2.945
-1.832 0.031 2.019
Zn B Zr
4 4 2
Cartesian
-4.358 -2.870 -3.909
-5.415 0.669 -4.923
-2.782 2.133 -2.557
-1.725 -1.406 -1.543
-3.875 -2.710 -1.633
-6.238 -1.203 -3.801
-5.097 2.004 -2.815
-2.733 0.497 -0.647
0.000 0.000 0.000
-3.570 -0.369 -3.233
```



For each record above, in turn, the calculated formation energy values are -200.5, 1838.7, 591.1 meV per atom.